{
  "formula": "RbReRh3",
  "functional": "meta-GGA SCAN",
  "state": "single point on PBEsol structure",
  "lattice_angstrom": [[4.598, 0.000, 0.000], [0.000, 4.598, 0.000], [0.000, 0.000, 4.598]],
  "species": ["Rb", "Re", "Rh", "Rh", "Rh"],
  "frac_coords": [[0.000, 0.000, 0.000], [0.500, 0.500, 0.500], [0.000, 0.000, 0.500], [0.000, 0.500, 0.000], [0.500, 0.000, 0.000]],
  "formation_enthalpy_0k_mev_per_atom": 3106.2,
  "e_tot_ev_per_atom": -35.524
}


{
  "formula": "CaTl2Ag",
  "functional": "meta-GGA SCAN",
  "state": "single point on PBEsol structure",
  "lattice_angstrom": [[4.581, 0.000, 0.000], [0.000, 4.581, 0.000], [0.000, 0.000, 4.583]],
  "species": ["Ca", "Tl", "Tl", "Ag"],
  "frac_coords": [[0.000, 0.000, 0.000], [0.000, 0.500, 0.500], [0.500, 0.000, 0.500], [0.500, 0.500, 0.000]],
  "formation_enthalpy_0k_mev_per_atom": -234.9,
  "e_tot_ev_per_atom": -46.672
}


{
  "formula": "AlCr2Mo",
  "functional": "meta-GGA SCAN",
  "state": "single point on PBEsol structure",
  "lattice_angstrom": [[-1.479, 2.100, 4.157], [1.479, -2.100, 4.157], [1.479, 2.100, -4.157]],
  "species": ["Al", "Cr", "Cr", "Mo"],
  "frac_coords": [[0.000, 0.000, 0.000], [0.259, 0.759, 0.500], [0.484, 0.484, 0.000], [0.730, 0.230, 0.500]],
  "formation_enthalpy_0k_mev_per_atom": -90.4,
  "e_tot_ev_per_atom": -19.942
}


{
  "formula": "Sb2PdRhI",
  "functional": "meta-GGA SCAN",
  "state": "single point on PBEsol structure",
  "lattice_angstrom": [[4.968, 0.000, 0.000], [0.000, 4.968, 0.000], [0.000, 0.000, 5.393]],
  "species": ["Sb", "Sb", "Pd", "Rh", "I"],
  "frac_coords": [[0.000, 0.500, 0.000], [0.500, 0.000, 0.000], [0.000, 0.000, 0.500], [0.500, 0.500, 0.000], [0.500, 0.500, 0.500]],
  "e_form_raw_ev_per_fu": 2.7,
  "e_tot_ev_per_atom": -35.027
}


{
  "formula": "InReAg",
  "functional": "meta-GGA SCAN",
  "state": "single point on PBEsol structure",
  "lattice_angstrom": [[4.608, 0.000, 0.000], [-2.304, 3.991, 0.000], [0.000, 0.000, 2.757]],
  "species": ["In", "Re", "Ag"],
  "frac_coords": [[0.000, 0.000, 0.000], [0.667, 0.333, 0.500], [0.333, 0.667, 0.000]],
  "formation_enthalpy_0k_mev_per_atom": 737.1,
  "e_tot_ev_per_atom": -44.547,
  "e_above_lowest_polymorph_mev_per_atom": 65
}


{
  "formula": "BaNa3Hf",
  "functional": "meta-GGA SCAN",
  "state": "single point on PBEsol structure",
  "lattice_angstrom": [[6.009, 0.000, 0.000], [0.000, 6.009, 0.000], [0.000, 0.000, 6.009]],
  "species": ["Ba", "Na", "Na", "Na", "Hf"],
  "frac_coords": [[0.000, 0.000, 0.000], [0.000, 0.500, 0.500], [0.500, 0.000, 0.500], [0.500, 0.500, 0.000], [0.500, 0.500, 0.500]],
  "formation_enthalpy_0k_mev_per_atom": 992.7,
  "e_tot_ev_per_atom": -21.981
}


{
  "formula": "NbAsPCl2",
  "functional": "meta-GGA SCAN",
  "state": "single point on PBEsol structure",
  "lattice_angstrom": [[4.643, 0.000, 0.000], [0.000, 4.643, 0.000], [0.000, 0.000, 5.058]],
  "species": ["Nb", "As", "P", "Cl", "Cl"],
  "frac_coords": [[0.000, 0.000, 0.000], [0.500, 0.500, 0.500], [0.500, 0.500, 0.000], [0.000, 0.500, 0.500], [0.500, 0.000, 0.500]],
  "e_form_raw_ev_per_fu": 3.1,
  "e_tot_ev_per_atom": -15.311,
  "e_above_lowest_polymorph_mev_per_atom": 580
}


{
  "formula": "NaAs3Ir",
  "functional": "meta-GGA SCAN",
  "state": "single point on PBEsol structure",
  "lattice_angstrom": [[4.878, 0.000, 0.000], [0.000, 4.878, 0.000], [0.000, 0.000, 4.878]],
  "species": ["Na", "As", "As", "As", "Ir"],
  "frac_coords": [[0.000, 0.000, 0.000], [0.000, 0.500, 0.500], [0.500, 0.000, 0.500], [0.500, 0.500, 0.000], [0.500, 0.500, 0.500]],
  "formation_enthalpy_0k_mev_per_atom": 360.7,
  "e_tot_ev_per_atom": -26.817
}


What did we get for total magnetic moment? Answer: 3.64 0.00 0.80 0.00 0.00 3.93 2.90 0.00 μB/cell, in the order shown.